[1]
## Pa3Cu2Ge4 (PBE)

Data for a relaxed Pa3Cu2Ge4 crystal.

Results
DFT total energy: -6.3105 eV/atom
ρ: 9696 kg/m3
V: 21.14 A^3/atom
Energy of formation: -183 meV/atom
N(E_F): 1.06 states/eV/atom

Cell lengths 3.918, 7.985, 7.985 Å; angles 52.34, 75.80, 75.80 degrees
Fractional coordinates of all 9 atoms:
Ge: 0.850 0.829 0.472
Ge: 0.150 0.171 0.528
Ge: 0.150 0.528 0.171
Ge: 0.850 0.472 0.829
Pa: 0.655 0.845 0.845
Pa: 0.500 0.500 0.500
Pa: 0.345 0.155 0.155
Cu: 0.000 0.835 0.165
Cu: 0.000 0.165 0.835

---

[2]
## Pa2CuGe (PBE)

Data for a relaxed Pa2CuGe crystal.

Results
DFT total energy: -7.0249 eV/atom
ρ: 11816 kg/m3
V: 21.02 A^3/atom
Energy of formation: -99 meV/atom
N(E_F): 1.72 states/eV/atom

Cell lengths 3.700, 3.700, 6.142 Å; angles 90.00, 90.00, 90.00 degrees
Fractional coordinates of all 4 atoms:
Ge: 0.500 0.500 0.500
Pa: 0.000 0.000 0.249
Pa: 0.000 0.000 0.751
Cu: 0.500 0.500 0.000

---

[3]
## PaCu2Ge2 (PBE)

Data for a relaxed PaCu2Ge2 crystal.

Results
DFT total energy: -5.6927 eV/atom
ρ: 9791 kg/m3
V: 17.08 A^3/atom
Energy of formation: -308 meV/atom
N(E_F): 1.07 states/eV/atom

Cell lengths 4.030, 4.030, 5.980 Å; angles 70.30, 70.30, 89.98 degrees
Fractional coordinates of all 5 atoms:
Cu: 0.250 0.750 0.500
Cu: 0.750 0.250 0.500
Ge: 0.618 0.618 0.763
Ge: 0.382 0.382 0.237
Pa: 0.000 0.000 0.000

---

[4]
## Pa2CuGe (PBE)

Data for a relaxed Pa2CuGe crystal.

Results
DFT total energy: -6.5744 eV/atom
ρ: 11350 kg/m3
V: 21.88 A^3/atom
Energy of formation: 352 meV/atom
N(E_F): 2.00 states/eV/atom

Cell lengths 3.045, 3.045, 11.042 Å; angles 82.07, 82.07, 60.00 degrees
Site moments in Bohr magnetons follow the coordinates.
Fractional coordinates of all 4 atoms:
Pa: 0.089 0.089 0.733  0.08
Pa: 0.911 0.911 0.267  0.08
Ge: 0.500 0.500 0.500  0.00
Cu: 0.000 0.000 0.000  0.00

---

[5]
## PaCuGe2 (PBE)

Data for a relaxed PaCuGe2 crystal.

Results
DFT total energy: -6.0001 eV/atom
ρ: 9671 kg/m3
V: 18.88 A^3/atom
Energy of formation: -293 meV/atom
N(E_F): 0.90 states/eV/atom

Cell lengths 4.102, 4.291, 4.291 Å; angles 90.00, 90.00, 90.00 degrees
Fractional coordinates of all 4 atoms:
Ge: 0.000 0.000 0.500
Ge: 0.000 0.500 0.000
Pa: 0.500 0.000 0.000
Cu: 0.500 0.500 0.500

---

[6]
## PaCuGe2 (PBE)

Data for a relaxed PaCuGe2 crystal.

Results
DFT total energy: -6.1188 eV/atom
ρ: 9660 kg/m3
V: 18.90 A^3/atom
Energy of formation: -412 meV/atom
N(E_F): 0.53 states/eV/atom

Cell lengths 4.059, 4.059, 9.615 Å; angles 102.19, 102.19, 90.00 degrees
Fractional coordinates of all 8 atoms:
Cu: 0.250 0.750 0.500
Cu: 0.750 0.250 0.500
Pa: 0.881 0.881 0.761
Pa: 0.119 0.119 0.239
Ge: 0.000 0.500 0.000
Ge: 0.500 0.000 0.000
Ge: 0.667 0.667 0.335
Ge: 0.333 0.333 0.665

---

[7]
## Pa2CuGe2 (PBE)

Data for a relaxed Pa2CuGe2 crystal.

Results
DFT total energy: -6.8371 eV/atom
ρ: 10697 kg/m3
V: 20.83 A^3/atom
Energy of formation: -373 meV/atom
N(E_F): 1.51 states/eV/atom

Cell lengths 4.109, 5.661, 9.905 Å; angles 78.96, 78.03, 68.72 degrees
Site moments in Bohr magnetons follow the coordinates.
Fractional coordinates of all 10 atoms:
Pa: 0.072 0.770 0.086  0.28
Pa: 0.689 0.267 0.356  0.04
Pa: 0.928 0.230 0.914  0.28
Pa: 0.311 0.733 0.644  0.04
Ge: 0.670 0.795 0.865  0.00
Ge: 0.330 0.205 0.135  0.00
Ge: 0.952 0.688 0.408  0.00
Ge: 0.048 0.312 0.592  0.00
Cu: 0.584 0.149 0.684  0.00
Cu: 0.416 0.851 0.316  0.00

---

[8]
## Pa3CuGe3 (PBE)

Data for a relaxed Pa3CuGe3 crystal.

Results
DFT total energy: -7.0172 eV/atom
ρ: 11037 kg/m3
V: 20.95 A^3/atom
Energy of formation: -383 meV/atom
N(E_F): 1.56 states/eV/atom

Cell lengths 4.131, 5.807, 13.490 Å; angles 76.55, 81.19, 69.17 degrees
Fractional coordinates of all 14 atoms:
Cu: 0.233 0.921 0.613
Cu: 0.767 0.079 0.387
Pa: 0.429 0.227 0.915
Pa: 0.571 0.773 0.085
Pa: 0.766 0.691 0.776
Pa: 0.476 0.651 0.397
Pa: 0.234 0.309 0.224
Pa: 0.524 0.349 0.603
Ge: 0.151 0.772 0.927
Ge: 0.849 0.228 0.073
Ge: 0.050 0.139 0.760
Ge: 0.950 0.861 0.240
Ge: 0.154 0.243 0.449
Ge: 0.846 0.757 0.551

---

[9]
## Pa2CuGe (PBE)

Data for a relaxed Pa2CuGe crystal.

Results
DFT total energy: -6.9629 eV/atom
ρ: 12436 kg/m3
V: 19.97 A^3/atom
Energy of formation: -37 meV/atom
N(E_F): 1.76 states/eV/atom

Cell lengths 4.099, 4.099, 5.980 Å; angles 89.98, 110.05, 120.02 degrees
Fractional coordinates of all 4 atoms:
Cu: 0.016 0.258 0.274
Ge: 0.729 0.614 0.343
Pa: 0.133 0.816 0.949
Pa: 0.622 0.061 0.684

---

[10]
## Pa2Cu3Ge4Pd (PBE)

Data for a relaxed Pa2Cu3Ge4Pd crystal.

Results
DFT total energy: -5.8770 eV/atom
ρ: 10005 kg/m3
V: 17.42 A^3/atom
Energy of formation: -383 meV/atom
N(E_F): 0.60 states/eV/atom

Cell lengths 4.233, 4.233, 9.722 Å; angles 90.00, 90.00, 90.00 degrees
Fractional coordinates of all 10 atoms:
Cu: 0.000 0.500 0.122
Cu: 0.500 0.000 0.878
Cu: 0.000 0.000 0.500
Pd: 0.500 0.500 0.500
Ge: 0.000 0.500 0.361
Ge: 0.500 0.000 0.639
Ge: 0.000 0.000 0.000
Ge: 0.500 0.500 0.000
Pa: 0.500 0.000 0.250
Pa: 0.000 0.500 0.750

---

[11]
## Pa2CuGe3Pt4 (PBE)

Data for a relaxed Pa2CuGe3Pt4 crystal.

Results
DFT total energy: -6.7801 eV/atom
ρ: 13764 kg/m3
V: 18.38 A^3/atom
Energy of formation: -670 meV/atom
N(E_F): 0.88 states/eV/atom

Cell lengths 4.152, 4.152, 10.664 Å; angles 90.00, 90.00, 90.00 degrees
Fractional coordinates of all 10 atoms:
Pt: 0.000 0.500 0.358
Pt: 0.500 0.000 0.642
Pt: 0.500 0.500 0.000
Pt: 0.000 0.000 0.000
Pa: 0.500 0.000 0.258
Pa: 0.000 0.500 0.742
Ge: 0.500 0.000 0.868
Ge: 0.000 0.000 0.500
Ge: 0.000 0.500 0.132
Cu: 0.500 0.500 0.500

---

[12]
## Pa2CuGe4Pt3 (PBE)

Data for a relaxed Pa2CuGe4Pt3 crystal.

Results
DFT total energy: -6.6062 eV/atom
ρ: 12609 kg/m3
V: 18.46 A^3/atom
Energy of formation: -638 meV/atom
N(E_F): 0.54 states/eV/atom

Cell lengths 4.270, 4.270, 10.124 Å; angles 90.00, 90.00, 90.00 degrees
Fractional coordinates of all 10 atoms:
Pt: 0.000 0.500 0.131
Pt: 0.000 0.000 0.500
Pt: 0.500 0.000 0.869
Cu: 0.500 0.500 0.500
Ge: 0.500 0.000 0.629
Ge: 0.500 0.500 0.000
Ge: 0.000 0.000 0.000
Ge: 0.000 0.500 0.371
Pa: 0.000 0.500 0.743
Pa: 0.500 0.000 0.257